Density functional theory data (PBE-GGA) for a relaxed structure of CdBr2.

Results
Total energy = -2.24 eV/atom

a b c (Å): 7.1782 8.3509 6.7959
angles (deg): 90.00 90.00 90.00
Element x y z (fractional)
Cd 0.0929 0.1229 0.0000
Cd 0.4071 0.6229 0.5000
Cd 0.5929 0.3771 0.0000
Cd 0.9071 0.8771 0.5000
Br 0.0653 0.6143 0.6380
Br 0.0886 0.1363 0.6115
Br 0.4114 0.6363 0.1115
Br 0.4347 0.1143 0.1380
Br 0.5653 0.8857 0.6380
Br 0.5886 0.3637 0.6115
Br 0.9114 0.8637 0.1115
Br 0.9347 0.3857 0.1380

Density functional theory data (PBE-GGA) for a relaxed structure of CdBr2.

Results
Total energy = -2.22 eV/atom

a b c (Å): 5.5913 6.4579 10.4466
angles (deg): 90.00 90.00 90.00
Element x y z (fractional)
Cd 0.0007 0.1234 0.3771
Cd 0.4993 0.8766 0.8771
Cd 0.5007 0.3766 0.6229
Cd 0.9993 0.6234 0.1229
Br 0.0001 0.2126 0.1285
Br 0.0004 0.2502 0.6186
Br 0.9999 0.7126 0.3715
Br 0.9996 0.7502 0.8814
Br 0.5004 0.2498 0.3814
Br 0.5001 0.2874 0.8715
Br 0.4996 0.7498 0.1186
Br 0.4999 0.7874 0.6285

Density functional theory data (PBE-GGA) for a relaxed structure of CdBr2.

Results
Total energy = -2.28 eV/atom

a b c (Å): 8.1071 8.1071 8.1071
angles (deg): 60.00 60.00 60.00
Element x y z (fractional)
Cd 0.0000 0.0000 0.0000
Cd 0.0000 0.0000 0.5000
Cd 0.0000 0.5000 0.0000
Cd 0.5000 0.0000 0.0000
Br 0.2382 0.7539 0.7539
Br 0.2461 0.2461 0.2461
Br 0.2461 0.2461 0.7618
Br 0.2461 0.7618 0.2461
Br 0.7539 0.2382 0.7539
Br 0.7539 0.7539 0.2382
Br 0.7539 0.7539 0.7539
Br 0.7618 0.2461 0.2461

Density functional theory data (PBE-GGA) for a relaxed structure of CdBr2.

Results
Total energy = -1.98 eV/atom

a b c (Å): 4.9308 4.9308 4.9308
angles (deg): 60.00 60.00 60.00
Element x y z (fractional)
Cd 0.0000 0.0000 0.0000
Br 0.2500 0.2500 0.2500
Br 0.7500 0.7500 0.7500

Density functional theory data (PBE-GGA) for a relaxed structure of CdBr2.

Results
Total energy = -2.22 eV/atom

a b c (Å): 6.2084 6.2084 10.1096
angles (deg): 90.00 90.00 90.00
Element x y z (fractional)
Cd 0.1386 0.1386 0.0000
Cd 0.3614 0.6386 0.2500
Cd 0.6386 0.3614 0.7500
Cd 0.8614 0.8614 0.5000
Br 0.2220 0.2471 0.7530
Br 0.2471 0.2220 0.2470
Br 0.2529 0.7220 0.0030
Br 0.2780 0.7471 0.4970
Br 0.7220 0.2529 0.9970
Br 0.7471 0.2780 0.5030
Br 0.7529 0.7780 0.7470
Br 0.7780 0.7529 0.2530

Density functional theory data (PBE-GGA) for a relaxed structure of CdBr2.

Results
Total energy = -1.00 eV/atom

a b c (Å): 6.3129 6.3129 6.3129
angles (deg): 60.00 60.00 60.00
Element x y z (fractional)
Cd 0.1250 0.1250 0.1250
Cd 0.8750 0.8750 0.8750
Br 0.0000 0.5000 0.5000
Br 0.5000 0.0000 0.5000
Br 0.5000 0.5000 0.0000
Br 0.5000 0.5000 0.5000

Density functional theory data (PBE-GGA) for a relaxed structure of CdBr2.

Results
Total energy = -2.28 eV/atom

a b c (Å): 7.0097 8.4807 8.7607
angles (deg): 103.25 98.44 104.99
Element x y z (fractional)
Cd 0.0000 0.0000 0.0000
Cd 0.1998 0.4001 0.4011
Cd 0.4009 0.8023 0.7989
Cd 0.5991 0.1977 0.2011
Cd 0.8002 0.5999 0.5989
Br 0.0866 0.9270 0.6920
Br 0.1141 0.4751 0.7080
Br 0.2869 0.3255 0.0940
Br 0.3124 0.8720 0.1063
Br 0.4869 0.7265 0.4918
Br 0.5131 0.2735 0.5082
Br 0.6876 0.1280 0.8937
Br 0.7131 0.6745 0.9060
Br 0.8859 0.5249 0.2920
Br 0.9134 0.0730 0.3080

Density functional theory data (PBE-GGA) for a relaxed structure of CdBr2.

Results
Total energy = -2.08 eV/atom

a b c (Å): 8.5014 8.5014 8.5014
angles (deg): 60.00 60.00 60.00
Element x y z (fractional)
Cd 0.1250 0.1250 0.1250
Cd 0.8750 0.8750 0.8750
Br 0.0000 0.0000 0.0000
Br 0.0000 0.0000 0.5000
Br 0.0000 0.5000 0.0000
Br 0.5000 0.0000 0.0000

Density functional theory data (PBE-GGA) for a relaxed structure of Cd2BrCl3.

Results
Total energy = -2.53 eV/atom

a b c (Å): 6.6828 3.8843 6.8330
angles (deg): 90.00 113.68 90.00
Element x y z (fractional)
Cd 0.0000 0.0000 0.0000
Cd 0.0061 0.5000 0.5043
Br 0.2652 0.5000 0.2700
Cl 0.2374 0.0000 0.7613
Cl 0.7690 0.5000 0.7439
Cl 0.7703 0.0000 0.2451

Density functional theory data (PBE-GGA) for a relaxed structure of Cd2Br3Cl.

Results
Total energy = -2.35 eV/atom

a b c (Å): 7.0371 3.9151 7.0638
angles (deg): 90.00 115.17 90.00
Element x y z (fractional)
Cd 0.0000 0.0000 0.0000
Cd 0.4971 0.5000 0.9951
Br 0.2712 0.5000 0.2464
Br 0.7285 0.5000 0.7495
Br 0.7699 0.0000 0.2445
Cl 0.2370 0.0000 0.7762

Density functional theory data (PBE-GGA) for a relaxed structure of Sr2CdBrClO2.

Results
Total energy = -4.55 eV/atom

a b c (Å): 8.3389 8.3389 8.3389
angles (deg): 149.73 149.73 43.33
Element x y z (fractional)
Sr 0.0000 0.0000 0.0000
Sr 0.2111 0.2111 0.0000
Cd 0.6029 0.6029 0.0000
Br 0.7947 0.7947 0.0000
Cl 0.4216 0.4216 0.0000
O 0.1054 0.6054 0.5000
O 0.6054 0.1054 0.5000

Density functional theory data (PBE-GGA) for a relaxed structure of CsCdBr3.

Results
Distance to the lowest polymorph of the same formula = 0.0191 eV per atom

a b c (Å): 5.5891 5.5891 5.5891
angles (deg): 90.00 90.00 90.00
Element x y z (fractional)
Cs 0.0000 0.0000 0.0000
Cd 0.5000 0.5000 0.5000
Br 0.0000 0.5000 0.5000
Br 0.5000 0.0000 0.5000
Br 0.5000 0.5000 0.0000

Please write out number 6 again, unchanged.
Density functional theory data (PBE-GGA) for a relaxed structure of CdBr2.

Results
Total energy = -1.00 eV/atom

a b c (Å): 6.3129 6.3129 6.3129
angles (deg): 60.00 60.00 60.00
Element x y z (fractional)
Cd 0.1250 0.1250 0.1250
Cd 0.8750 0.8750 0.8750
Br 0.0000 0.5000 0.5000
Br 0.5000 0.0000 0.5000
Br 0.5000 0.5000 0.0000
Br 0.5000 0.5000 0.5000